This record from Alexandria via LeMat-Bulk describes a geometry-optimized IrW2N structure. The functional is PBE.

Lattice parameters (Å, degrees): 6.5973 6.5973 6.5973 136.89 136.89 62.61
Element x y z (fractional)
Ir 0.0000 0.0000 0.0000
Ir 0.7500 0.2500 0.5000
W 0.2163 0.6250 0.0913
W 0.3750 0.4663 0.5913
W 0.5337 0.1250 0.9087
W 0.8750 0.7837 0.4087
N 0.2500 0.7500 0.5000
N 0.5000 0.5000 0.0000

Computed properties:
ΔE_f (raw) = 1.31 eV/f.u.
Calculated density = 14.39 g/cm3
Volume = 16.558 Å³ per atom
M_tot = 0.00 μB/cell
E = -41.79 eV/f.u.